Material: LaOs2Cl2
Method: DFT, PBE
State: optimized geometry

## Properties
Symmetry ... I4/mmm, No. 139
Offset from the most stable computed form ... 0.000 eV per atom

Cell lengths 4.299, 4.299, 11.488 Å; angles 90.00, 90.00, 90.00 degrees
Atoms (fractional coordinates):
La 0.000 0.000 0.000
La 0.500 0.500 0.500
Os 0.000 0.000 0.403
Os 0.000 0.000 0.597
Os 0.500 0.500 0.097
Os 0.500 0.500 0.903
Cl 0.000 0.500 0.250
Cl 0.000 0.500 0.750
Cl 0.500 0.000 0.250
Cl 0.500 0.000 0.750